Compound: Li12PtAu3
Source: the Alexandria database
Functional: PBE-GGA
Structure: optimized geometry

Summary:
- Symmetry: P4/mmm, No. 123
- Formation energy: -0.3715 eV/atom
- Energy: -44.78 eV/cell
- DOS at the Fermi energy: 0.26 states/eV/atom
- Density: 5.9 Mg/m³

a = 3.937 Å, b = 3.937 Å, c = 15.818 Å
α = 90.00°, β = 90.00°, γ = 90.00°
Element x y z (fractional)
Li 0.000 0.000 0.000
Li 0.000 0.000 0.245
Li 0.000 0.000 0.500
Li 0.000 0.000 0.755
Li 0.000 0.500 0.116
Li 0.000 0.500 0.372
Li 0.000 0.500 0.628
Li 0.000 0.500 0.884
Li 0.500 0.000 0.116
Li 0.500 0.000 0.372
Li 0.500 0.000 0.628
Li 0.500 0.000 0.884
Pt 0.500 0.500 0.000
Au 0.500 0.500 0.244
Au 0.500 0.500 0.500
Au 0.500 0.500 0.756

Compound: Li6Pt2Au
Source: the Alexandria database
Functional: PBE-GGA
Structure: optimized geometry

Summary:
- Symmetry: C2/m, No. 12
- Formation energy: -0.5201 eV/atom
- Energy: -31.52 eV/cell
- DOS at the Fermi energy: 0.25 states/eV/atom
- Density: 8.2 Mg/m³

a = 7.326 Å, b = 7.326 Å, c = 2.725 Å
α = 90.04°, β = 90.04°, γ = 59.98°
Element x y z (fractional)
Li 0.159 0.500 0.002
Li 0.159 0.841 0.000
Li 0.500 0.159 0.002
Li 0.500 0.841 0.998
Li 0.841 0.159 0.000
Li 0.841 0.500 0.998
Pt 0.167 0.167 0.500
Pt 0.833 0.833 0.500
Au 0.500 0.500 0.500

Compound: LiPt2Au
Source: the Alexandria database
Functional: PBE-GGA
Structure: optimized geometry

Summary:
- Symmetry: Pmm2, No. 25
- Formation energy: -0.2694 eV/atom
- Energy: -18.35 eV/cell
- DOS at the Fermi energy: 1.10 states/eV/atom
- Density: 15.7 Mg/m³

a = 2.764 Å, b = 4.074 Å, c = 5.573 Å
α = 90.00°, β = 90.00°, γ = 90.00°
Element x y z (fractional)
Li 0.000 0.000 0.000
Pt 0.000 0.000 0.480
Pt 0.500 0.500 0.254
Au 0.500 0.500 0.761